DFT (PBE) results for crystalline AcAg4Pb4 at its relaxed geometry.

abc: 9.5616 9.5616 5.4193
angles: 90.00 90.00 90.00
Closest atoms and distances in Å follow each position.
Fractional coordinates of all 18 atoms:
1 Ac 0.2500 0.2500 0.2500  8 Ag 3.39-3.40, 4 Pb 3.56
2 Ac 0.7500 0.7500 0.7500  8 Ag 3.39-3.40, 4 Pb 3.56
3 Ag 0.0549 0.1625 0.7490  2 Ag 2.89, 4 Pb 2.92-3.13
4 Ag 0.1625 0.4451 0.7510  2 Ag 2.89, 4 Pb 2.92-3.13
5 Ag 0.3375 0.0549 0.7510  2 Ag 2.89, 4 Pb 2.92-3.13
6 Ag 0.4451 0.3375 0.7490  2 Ag 2.89, 4 Pb 2.92-3.13
7 Ag 0.5549 0.6625 0.2510  2 Ag 2.89, 4 Pb 2.92-3.13
8 Ag 0.6625 0.9451 0.2490  2 Ag 2.89, 4 Pb 2.92-3.13
9 Ag 0.8375 0.5549 0.2490  2 Ag 2.89, 4 Pb 2.92-3.13
10 Ag 0.9451 0.8375 0.2510  2 Ag 2.89, 4 Pb 2.92-3.13
11 Pb 0.1076 0.8536 0.7515  4 Ag 2.92-3.13
12 Pb 0.1464 0.6076 0.2515  4 Ag 2.92-3.13
13 Pb 0.3536 0.8924 0.2515  4 Ag 2.92-3.13
14 Pb 0.3924 0.6464 0.7515  4 Ag 2.92-3.13
15 Pb 0.6076 0.3536 0.2485  4 Ag 2.92-3.13
16 Pb 0.6464 0.1076 0.7485  4 Ag 2.92-3.13
17 Pb 0.8536 0.3924 0.7485  4 Ag 2.92-3.13
18 Pb 0.8924 0.1464 0.2485  4 Ag 2.92-3.13

Output
For the volume, the calculation gives 27.53 Å³/atom. For the density of states at the Fermi level, the calculation gives 0.66 states/eV per atom. The calculation puts the formation energy at -0.3 eV/f.u. Its density is 9.97 g/cm³. As for the magnetization: 0.00 μB per formula unit.